1:
Th2HgSb: relaxed, PBE.

Unit cell a=4.1568 b=4.1568 c=25.4824 alpha=90.00 beta=90.00 gamma=120.00
Space group R3m (No. 160, hexagonal axes)
Symmetry-distinct sites (fractional):
Th 0.0000 0.0000 0.0000 (multiplicity 3)
Th 0.0000 0.0000 0.1741 (multiplicity 3)
Hg 0.0000 0.0000 0.4193 (multiplicity 3)
Sb 0.0000 0.0000 0.5875 (multiplicity 3)

***

2:
Th2HgSb: relaxed, PBE.

Unit cell a=4.024 b=4.024 c=7.040 alpha=90.00 beta=90.00 gamma=90.00
Space group P4/mmm (No. 123)
Symmetry-distinct sites (fractional):
Th 0.000 0.000 0.248 (multiplicity 2)
Hg 0.500 0.500 0.500 (multiplicity 1)
Sb 0.500 0.500 0.000 (multiplicity 1)

***

Which structure is the least stable? The one labeled 1.

***

1:
ThHg2Sb: relaxed, PBE.

Unit cell a=3.3960 b=3.3960 c=35.3932 alpha=90.00 beta=90.00 gamma=120.00
Space group R-3m (No. 166, hexagonal axes)
Symmetry-distinct sites (fractional):
Th 0.0000 0.0000 0.0000 (multiplicity 3)
Hg 0.0000 0.0000 0.0897 (multiplicity 6)
Sb 0.0000 0.0000 0.5000 (multiplicity 3)

***

2:
ThHg2Sb: relaxed, PBE.

Unit cell a=4.548 b=4.548 c=5.144 alpha=90.00 beta=90.00 gamma=90.00
Space group P4/mmm (No. 123)
Symmetry-distinct sites (fractional):
Th 0.000 0.000 0.000 (multiplicity 1)
Hg 0.000 0.500 0.500 (multiplicity 2)
Sb 0.500 0.500 0.000 (multiplicity 1)

***

Which structure is the least stable? The one labeled 1.

***

1:
Ti3HgSb: relaxed, PBE.

Unit cell a=5.006 b=5.006 c=5.006 alpha=90.00 beta=90.00 gamma=90.00
Space group Pm-3m (No. 221)
Symmetry-distinct sites (fractional):
Ti 0.000 0.000 0.500 (multiplicity 3)
Hg 0.000 0.000 0.000 (multiplicity 1)
Sb 0.500 0.500 0.500 (multiplicity 1)

***

2:
Ti3HgSb: relaxed, PBE.

Unit cell a=5.008 b=5.008 c=5.008 alpha=90.00 beta=90.00 gamma=90.00
Space group Pm-3m (No. 221)
Symmetry-distinct sites (fractional):
Ti 0.000 0.000 0.500 (multiplicity 3)
Hg 0.500 0.500 0.500 (multiplicity 1)
Sb 0.000 0.000 0.000 (multiplicity 1)

***

Which structure is the least stable? The one labeled 1.

***

1:
Ti2HgSb2: relaxed, PBE.

Unit cell a=7.617 b=7.617 c=3.670 alpha=90.00 beta=90.00 gamma=90.00
Space group P4/mbm (No. 127)
Symmetry-distinct sites (fractional):
Ti 0.135 0.365 0.000 (multiplicity 4)
Hg 0.000 0.000 0.000 (multiplicity 2)
Sb 0.156 0.656 0.500 (multiplicity 4)

***

2:
Ti2HgSb2: relaxed, PBE.

Unit cell a=7.944 b=7.944 c=3.465 alpha=90.00 beta=90.00 gamma=90.00
Space group P4/mbm (No. 127)
Symmetry-distinct sites (fractional):
Ti 0.131 0.369 0.000 (multiplicity 4)
Hg 0.000 0.000 0.500 (multiplicity 2)
Sb 0.156 0.656 0.500 (multiplicity 4)

***

Which structure is the least stable? The one labeled 2.